# 1
A plane-wave DFT calculation with PBE was carried out for ZrCd2Ni after structural relaxation.

Summary:
* crystal system: monoclinic
* total magnetization: 0.00 μB per cell
* calculated density: 8.29 g/cm³
* energy relative to the elements: 0.03 eV/atom

Lattice parameters (Å, degrees): 2.9451 4.6689 5.6249 90.00 103.89 90.00
Last column: nearest neighbours and their distance in Å.
Space group P2/m (No. 10)
Inequivalent atoms, fractional coordinates:
Zr1 0.0000 0.0000 0.0000  2 Ni 2.84, 2 Zr 2.95, 8 Cd 3.10-3.16
Cd1 0.3547 0.5000 0.7300  2 Ni 2.75, 5 Cd 2.91-2.95
Ni1 0.5000 0.0000 0.5000  4 Cd 2.75, 2 Zr 2.84, 2 Ni 2.95


# 2
A plane-wave DFT calculation with PBE was carried out for ZrCdNi2 after structural relaxation.

Summary:
* crystal system: trigonal
* total magnetization: 0.01 μB per cell
* calculated density: 8.11 g/cm³
* energy relative to the elements: 0.19 eV/atom

Lattice parameters (Å, degrees): 2.9261 2.9261 26.6010 90.00 90.00 120.00
Last column: nearest neighbours and their distance in Å.
Space group R3m (No. 160, hexagonal axes)
Inequivalent atoms, fractional coordinates:
Zr1 0.0000 0.0000 0.0000  3 Ni 2.73, 6 Zr 2.93
Cd1 0.0000 0.0000 0.2305  3 Ni 2.73, 6 Cd 2.93
Ni1 0.0000 0.0000 0.4834  3 Ni 2.50, 3 Cd 2.73
Ni2 0.0000 0.0000 0.7475  3 Ni 2.50, 3 Zr 2.73


# 3
A plane-wave DFT calculation with PBE was carried out for ZrCdNi2 after structural relaxation.

Summary:
* crystal system: trigonal
* total magnetization: 0.00 μB per cell
* calculated density: 7.71 g/cm³
* energy relative to the elements: 0.02 eV/atom

Lattice parameters (Å, degrees): 3.2171 3.2171 23.1275 90.00 90.00 120.00
Last column: nearest neighbours and their distance in Å.
Space group R-3m (No. 166, hexagonal axes)
Inequivalent atoms, fractional coordinates:
Zr1 0.0000 0.0000 0.0000  6 Ni 2.60
Cd1 0.0000 0.0000 0.5000  6 Ni 2.75
Ni1 0.0000 0.0000 0.2545  3 Zr 2.60, 3 Cd 2.75


# 4
A plane-wave DFT calculation with PBE was carried out for ZrCd2Ni2 after structural relaxation.

Summary:
* crystal system: tetragonal
* total magnetization: 0.00 μB per cell
* calculated density: 8.27 g/cm³
* relative energy among the computed polymorphs: 0.0000 eV per atom
* energy relative to the elements: -0.06 eV/atom

Lattice parameters (Å, degrees): 6.6468 6.6468 3.9409 90.00 90.00 90.00
Last column: nearest neighbours and their distance in Å.
Space group P4/mbm (No. 127)
Inequivalent atoms, fractional coordinates:
Zr1 0.0000 0.0000 0.0000  4 Ni 2.62
Cd1 0.1689 0.3311 0.5000  6 Ni 2.75-2.80
Ni1 0.1274 0.6274 0.0000  1 Ni 2.39, 2 Zr 2.62